! PBE-GGA Ca2PmPrSe4, optimized geometry; values from VASP
&SYSTEM
  ibrav = 0, nat = 8, ntyp = 4
/
ATOMIC_SPECIES
Ca 40.08 Ca.upf
Pm 145.00 Pm.upf
Pr 140.91 Pr.upf
Se 78.96 Se.upf
CELL_PARAMETERS angstrom
7.2416 0.0000 0.0000
0.0000 4.1843 0.0000
-2.4172 0.0000 6.9971
ATOMIC_POSITIONS crystal
Ca 0.0000 0.0000 0.0000
Ca 0.5000 0.5000 0.0000
Pm 0.0000 0.5000 0.5000
Pr 0.5000 0.0000 0.5000
Se 0.2445 0.5000 0.2422
Se 0.2493 0.0000 0.7556
Se 0.7507 0.0000 0.2444
Se 0.7555 0.5000 0.7578
! Raw formation energy   -1471 kJ/mol of formula units
! ρ   5.341 Mg/m³

=====

! PBE-GGA CaPm2Pr3Se6, optimized geometry; values from VASP
&SYSTEM
  ibrav = 0, nat = 12, ntyp = 4
/
ATOMIC_SPECIES
Ca 40.08 Ca.upf
Pm 145.00 Pm.upf
Pr 140.91 Pr.upf
Se 78.96 Se.upf
CELL_PARAMETERS angstrom
3.6532 -6.3366 0.0000
3.6532 6.3366 0.0000
-2.4266 0.0000 6.9372
ATOMIC_POSITIONS crystal
Ca 0.0000 0.0000 0.0000
Pm 0.3331 0.6669 0.0000
Pm 0.6669 0.3331 0.0000
Pr 0.1675 0.8325 0.5000
Pr 0.5000 0.5000 0.5000
Pr 0.8325 0.1675 0.5000
Se 0.0806 0.4094 0.2421
Se 0.2482 0.2482 0.7591
Se 0.4094 0.0806 0.2421
Se 0.5906 0.9194 0.7579
Se 0.7518 0.7518 0.2409
Se 0.9194 0.5906 0.7579
! Raw formation energy   -2156 kJ/mol of formula units
! ρ   6.342 Mg/m³

=====

! PBE-GGA CaPm2Pr3Sm6, optimized geometry; values from VASP
&SYSTEM
  ibrav = 0, nat = 12, ntyp = 4
/
ATOMIC_SPECIES
Ca 40.08 Ca.upf
Pm 145.00 Pm.upf
Pr 140.91 Pr.upf
Sm 150.36 Sm.upf
CELL_PARAMETERS angstrom
3.1814 -5.5142 0.0000
3.1814 5.5142 0.0000
-2.1256 0.0000 11.9686
ATOMIC_POSITIONS crystal
Ca 0.0000 0.0000 0.0000
Pm 0.3331 0.6669 0.0000
Pm 0.6669 0.3331 0.0000
Pr 0.1659 0.8341 0.5000
Pr 0.5000 0.5000 0.5000
Pr 0.8341 0.1659 0.5000
Sm 0.0840 0.4231 0.2506
Sm 0.2545 0.2545 0.7489
Sm 0.4231 0.0840 0.2506
Sm 0.5769 0.9160 0.7494
Sm 0.7455 0.7455 0.2511
Sm 0.9160 0.5769 0.7494
! ρ   6.544 Mg/m³

=====

! PBE-GGA CaPm2Pr6Sm, optimized geometry; values from VASP
&SYSTEM
  ibrav = 0, nat = 20, ntyp = 4
/
ATOMIC_SPECIES
Ca 40.08 Ca.upf
Pm 145.00 Pm.upf
Pr 140.91 Pr.upf
Sm 150.36 Sm.upf
CELL_PARAMETERS angstrom
4.6612 -7.8663 0.0000
4.6612 7.8663 0.0000
-1.5202 0.0000 9.9316
ATOMIC_POSITIONS crystal
Ca 0.0974 0.9026 0.7500
Ca 0.9026 0.0974 0.2500
Pm 0.2013 0.3002 0.9571
Pm 0.3002 0.2013 0.4571
Pm 0.6998 0.7987 0.5429
Pm 0.7987 0.6998 0.0429
Pr 0.0005 0.7873 0.3780
Pr 0.0726 0.5272 0.1782
Pr 0.2127 0.9995 0.1220
Pr 0.2623 0.6170 0.5521
Pr 0.3830 0.7377 0.9479
Pr 0.4728 0.9274 0.3218
Pr 0.5272 0.0726 0.6782
Pr 0.6170 0.2623 0.0521
Pr 0.7377 0.3830 0.4479
Pr 0.7873 0.0005 0.8780
Pr 0.9274 0.4728 0.8218
Pr 0.9995 0.2127 0.6220
Sm 0.4761 0.5239 0.2500
Sm 0.5239 0.4761 0.7500
! ρ   6.046 Mg/m³

=====

! PBE-GGA CaPm6Pr3Sm2, optimized geometry; values from VASP
&SYSTEM
  ibrav = 0, nat = 12, ntyp = 4
/
ATOMIC_SPECIES
Ca 40.08 Ca.upf
Pm 145.00 Pm.upf
Pr 140.91 Pr.upf
Sm 150.36 Sm.upf
CELL_PARAMETERS angstrom
3.1894 -5.5299 0.0000
3.1894 5.5299 0.0000
-2.1308 0.0000 11.9803
ATOMIC_POSITIONS crystal
Ca 0.0000 0.0000 0.0000
Pm 0.0840 0.4235 0.2501
Pm 0.2550 0.2550 0.7494
Pm 0.4235 0.0840 0.2501
Pm 0.5765 0.9160 0.7499
Pm 0.7450 0.7450 0.2506
Pm 0.9160 0.5765 0.7499
Pr 0.1660 0.8340 0.5000
Pr 0.5000 0.5000 0.5000
Pr 0.8340 0.1660 0.5000
Sm 0.3331 0.6669 0.0000
Sm 0.6669 0.3331 0.0000
! ρ   6.419 Mg/m³

=====

! PBE-GGA CaPmPr4Sm2, optimized geometry; values from VASP
&SYSTEM
  ibrav = 0, nat = 16, ntyp = 4
/
ATOMIC_SPECIES
Ca 40.08 Ca.upf
Pm 145.00 Pm.upf
Pr 140.91 Pr.upf
Sm 150.36 Sm.upf
CELL_PARAMETERS angstrom
7.0622 -6.7917 0.0000
7.0622 6.7917 0.0000
-3.4466 0.0000 6.0760
ATOMIC_POSITIONS crystal
Ca 0.0000 0.0000 0.0000
Ca 0.0000 0.0000 0.5000
Pm 0.0000 0.5000 0.0000
Pm 0.5000 0.0000 0.5000
Pr 0.2342 0.7295 0.9815
Pr 0.2612 0.2621 0.5184
Pr 0.2621 0.2612 0.0184
Pr 0.2705 0.7658 0.5185
Pr 0.7295 0.2342 0.4815
Pr 0.7379 0.7388 0.9816
Pr 0.7388 0.7379 0.4816
Pr 0.7658 0.2705 0.0185
Sm 0.0000 0.5000 0.5000
Sm 0.5000 0.0000 0.0000
Sm 0.5000 0.5000 0.0000
Sm 0.5000 0.5000 0.5000
! ρ   5.979 Mg/m³

=====

! PBE-GGA CaPm4PrSm2, optimized geometry; values from VASP
&SYSTEM
  ibrav = 0, nat = 16, ntyp = 4
/
ATOMIC_SPECIES
Ca 40.08 Ca.upf
Pm 145.00 Pm.upf
Pr 140.91 Pr.upf
Sm 150.36 Sm.upf
CELL_PARAMETERS angstrom
6.9992 -6.7610 0.0000
6.9992 6.7610 0.0000
-3.4400 0.0000 6.0529
ATOMIC_POSITIONS crystal
Ca 0.0000 0.0000 0.0000
Ca 0.0000 0.0000 0.5000
Pm 0.2374 0.7326 0.9863
Pm 0.2614 0.2637 0.0251
Pm 0.2637 0.2614 0.5251
Pm 0.2674 0.7626 0.5137
Pm 0.7326 0.2374 0.4863
Pm 0.7363 0.7386 0.4749
Pm 0.7386 0.7363 0.9749
Pm 0.7626 0.2674 0.0137
Pr 0.0000 0.5000 0.5000
Pr 0.5000 0.0000 0.0000
Sm 0.0000 0.5000 0.0000
Sm 0.5000 0.0000 0.5000
Sm 0.5000 0.5000 0.0000
Sm 0.5000 0.5000 0.5000
! ρ   6.155 Mg/m³

=====

! PBE-GGA CaPmPrSm, optimized geometry; values from VASP
&SYSTEM
  ibrav = 0, nat = 4, ntyp = 4
/
ATOMIC_SPECIES
Ca 40.08 Ca.upf
Pm 145.00 Pm.upf
Pr 140.91 Pr.upf
Sm 150.36 Sm.upf
CELL_PARAMETERS angstrom
3.7002 0.0000 0.0000
-1.8501 3.2045 0.0000
0.0000 0.0000 12.2091
ATOMIC_POSITIONS crystal
Ca 0.0000 0.0000 0.0000
Pm 0.0000 0.0000 0.5060
Pr 0.6667 0.3333 0.2639
Sm 0.3333 0.6667 0.7420
! ΔE to the lowest computed polymorph   0 meV per atom
! ρ   5.464 Mg/m³

=====

Results for uncorrected energy: -0.1962 -0.2116 -0.1645 -0.1606 -0.1649 -0.1491 -0.1480 -0.1480 (in Ha/atom, following the order of the records).